[1]
First-principles (PBE-GGA) data for a relaxed structure of BaPd, as listed in Alexandria via LeMat-Bulk.

DOS(E_F), states/eV/f.u.: 0.50
Symmetry: Cmcm
Uncorrected energy, eV/atom: -4.09

```
BaPd
1.0
-2.9137 -3.5797 4.4183
4.1721 -0.7144 -4.7863
3.5568 0.7868 2.9830
Ba Pd
2 2
Cartesian
4.0828 -0.9133 -2.7694
0.7325 -2.5939 5.3845
2.8094 -1.7540 2.6865
2.0059 -1.7532 -0.0714
```


[2]
First-principles (PBE-GGA) data for a relaxed structure of Tb4Ho2Er, as listed in Alexandria via LeMat-Bulk.

DOS(E_F), states/eV/f.u.: 11.09
Symmetry: C2/m
Offset from the most stable computed form, eV per atom: 0.000

```
Tb4Ho2Er
1.0
3.4860 -0.2526 0.3120
-2.6140 8.2512 -3.5727
0.9283 -1.1571 8.3930
Tb Er Ho
4 1 2
Cartesian
0.1323 5.0415 2.5750
3.0449 0.3205 5.7046
-1.2446 6.5209 -0.5723
1.6680 1.7999 2.5573
0.0000 0.0000 0.0000
0.2603 3.2914 -0.2430
1.5400 3.5500 5.3753
```